Below is SrPt2Au after structural relaxation, with properties calculated at the PBE-GGA level.

Unit cell a=9.746 b=9.746 c=9.746 alpha=18.08 beta=18.08 gamma=18.08
Element x y z (fractional)
Au 0.750 0.750 0.750
Pt 0.004 0.004 0.004
Pt 0.496 0.496 0.496
Sr 0.250 0.250 0.250

Values from the calculation:
Calculated formation energy: 0.126 eV/atom
Space-group type: R-3m, No. 166

---

Below is Sr2PtAu after structural relaxation, with properties calculated at the PBE-GGA level.

Unit cell a=6.834 b=6.834 c=6.834 alpha=143.56 beta=141.99 gamma=53.68
Element x y z (fractional)
Au 0.544 0.544 0.000
Pt 0.699 0.199 0.500
Sr 0.999 0.999 0.000
Sr 0.258 0.758 0.500

Values from the calculation:
Calculated formation energy: -0.625 eV/atom
Space-group type: Imm2, No. 44

---

Below is SrPtAu2 after structural relaxation, with properties calculated at the PBE-GGA level.

Unit cell a=5.418 b=5.418 c=5.418 alpha=133.12 beta=133.12 gamma=68.46
Element x y z (fractional)
Au 0.000 0.000 0.000
Au 0.250 0.750 0.500
Pt 0.500 0.500 0.000
Sr 0.750 0.250 0.500

Values from the calculation:
Calculated formation energy: -0.395 eV/atom
Space-group type: I-4m2, No. 119

---

Below is Sr8Pt3Au2 after structural relaxation, with properties calculated at the PBE-GGA level.

Unit cell a=5.293 b=10.667 c=9.279 alpha=125.19 beta=90.00 gamma=90.00
Element x y z (fractional)
Sr 0.000 0.621 0.241
Sr 0.000 0.379 0.759
Sr 0.000 0.117 0.233
Sr 0.000 0.883 0.767
Sr 0.500 0.637 0.762
Sr 0.500 0.126 0.763
Sr 0.500 0.874 0.237
Sr 0.500 0.363 0.238
Pt 0.500 0.000 0.000
Pt 0.000 0.257 0.000
Pt 0.000 0.743 0.000
Au 0.500 0.253 0.506
Au 0.500 0.747 0.494

Values from the calculation:
Calculated formation energy: -0.658 eV/atom
Space-group type: P2/m, No. 10

---

Below is Sr3PtAu3 after structural relaxation, with properties calculated at the PBE-GGA level.

Unit cell a=4.393 b=6.179 c=15.720 alpha=86.84 beta=81.97 gamma=69.18
Element x y z (fractional)
Sr 0.575 0.255 0.596
Sr 0.425 0.745 0.404
Sr 0.244 0.279 0.234
Sr 0.756 0.721 0.766
Sr 0.400 0.278 0.922
Sr 0.600 0.722 0.078
Pt 0.751 0.133 0.365
Pt 0.249 0.867 0.635
Au 0.883 0.676 0.559
Au 0.117 0.324 0.441
Au 0.117 0.842 0.925
Au 0.883 0.158 0.075
Au 0.966 0.840 0.228
Au 0.034 0.160 0.772

Values from the calculation:
Calculated formation energy: -0.758 eV/atom
Space-group type: C2/m, No. 12

---

Below is Sr4PtAu3 after structural relaxation, with properties calculated at the PBE-GGA level.

Unit cell a=4.298 b=4.702 c=11.584 alpha=90.00 beta=90.00 gamma=90.00
Element x y z (fractional)
Sr 0.500 0.500 0.351
Sr 0.000 0.500 0.870
Sr 0.000 0.000 0.137
Sr 0.500 0.000 0.640
Pt 0.500 0.500 0.077
Au 0.000 0.500 0.579
Au 0.000 0.000 0.422
Au 0.500 0.000 0.924

Values from the calculation:
Calculated formation energy: -0.795 eV/atom
Space-group type: Pmm2, No. 25